Np2TeS2: optimized geometry, PBE-GGA.

a b c (Å): 5.4509 5.4509 5.4653
angles (deg): 90.00 90.00 98.33
Closest atoms and distances in Å follow each position.
Element x y z (fractional)
Np: 0.2179 0.2179 0.0000  4 S 2.66-2.84
Np: 0.7821 0.7821 0.0000  4 S 2.66-2.84
Te: 0.0000 0.0000 0.5000  4 Np 3.14
S: 0.2884 0.7116 0.0000  4 Np 2.66-2.84
S: 0.7116 0.2884 0.0000  4 Np 2.66-2.84

## Properties
Distance to the lowest polymorph of the same formula (meV per atom): 289
E_form (uncorrected) (eV per atom): -0.902